Density functional theory data (PBE-GGA) for Sr2CrRuPt after structural relaxation.

Results
Total magnetic moment ... 5.91 Bohr magnetons per cell
Raw total energy ... -23.21 eV per cell
DFT formation energy ... 1.019 eV/atom
N(E_F) ... 0.86 states/eV per atom

abc: 5.811 5.811 4.571
angles: 90.00 90.00 90.00
Space group P4/mmm (No. 123)
Inequivalent atoms, fractional coordinates:
Sr 0.000 0.500 0.000
Cr 0.000 0.000 0.000
Ru 0.500 0.500 0.500
Pt 0.000 0.000 0.500

---

Density functional theory data (PBE-GGA) for NaAlFeH6 after structural relaxation.

Results
Total magnetic moment ... 0.06 Bohr magnetons per cell
Raw total energy ... -35.32 eV per cell

abc: 4.2634 4.2634 5.0982
angles: 90.00 90.00 120.00
Space group P312 (No. 149)
Inequivalent atoms, fractional coordinates:
Na 0.0000 0.0000 0.0000
Al 0.3333 0.6667 0.5000
Fe 0.6667 0.3333 0.5000
H 0.3832 0.0442 0.6964

---

Density functional theory data (PBE-GGA) for AcAlTl2Se4 after structural relaxation.

Results
Total magnetic moment ... 0.00 Bohr magnetons per cell
Raw total energy ... -135.36 eV per cell
Formation energy from raw total energies ... -0.91 eV/atom
N(E_F) ... 0.07 states/eV per atom

abc: 8.195 9.336 12.382
angles: 90.00 90.00 90.00
Space group Imma (No. 74)
Inequivalent atoms, fractional coordinates:
Ac 0.000 0.000 0.000
Al 0.250 0.250 0.250
Tl 0.000 0.000 0.500
Tl 0.250 0.250 0.750
Se 0.000 0.061 0.248
Se 0.241 0.250 0.029

---

Density functional theory data (PBE-GGA) for MgNbRuPt after structural relaxation.

Results
Total magnetic moment ... 0.00 Bohr magnetons per cell
Raw total energy ... -114.68 eV per cell
DFT formation energy ... -0.422 eV/atom
N(E_F) ... 1.05 states/eV per atom

abc: 6.352 6.352 6.352
angles: 90.00 90.00 90.00
Space group F-43m (No. 216)
Inequivalent atoms, fractional coordinates:
Mg 0.000 0.000 0.000
Nb 0.000 0.000 0.500
Ru 0.250 0.250 0.250
Pt 0.250 0.250 0.750

---

Density functional theory data (PBE-GGA) for TiMnV2 after structural relaxation.

Results
Total magnetic moment ... 0.00 Bohr magnetons per cell
Raw total energy ... -35.66 eV per cell
Energy relative to the lowest polymorph listed for this composition ... 58 meV/atom
DFT formation energy ... -0.091 eV/atom
N(E_F) ... 1.34 states/eV per atom

abc: 2.919 2.919 6.319
angles: 90.00 90.00 90.00
Space group P4/mmm (No. 123)
Inequivalent atoms, fractional coordinates:
Ti 0.000 0.000 0.000
Mn 0.000 0.000 0.500
V 0.500 0.500 0.278

---

Density functional theory data (PBE-GGA) for Cu3Cl2O2 after structural relaxation.

Results
Total magnetic moment ... 0.38 Bohr magnetons per cell
Raw total energy ... -29.36 eV per cell
Formation energy from raw total energies ... -0.49 eV/atom
N(E_F) ... 0.50 states/eV per atom

abc: 3.806 5.776 6.026
angles: 107.75 104.79 107.35
Space group P-1 (No. 2)
Inequivalent atoms, fractional coordinates:
Cu 0.000 0.000 0.000
Cu 0.216 0.566 0.847
Cl 0.228 0.849 0.659
O 0.227 0.382 0.067

---

Density functional theory data (PBE-GGA) for Sc2Al5Cu2Tc after structural relaxation.

Results
Total magnetic moment ... 0.00 Bohr magnetons per cell
Raw total energy ... -106.95 eV per cell
DFT formation energy ... -0.354 eV/atom
N(E_F) ... 0.64 states/eV per atom

abc: 9.683 9.683 3.436
angles: 90.00 90.00 90.00
Space group P4/mbm (No. 127)
Inequivalent atoms, fractional coordinates:
Sc 0.172 0.328 0.000
Al 0.000 0.500 0.500
Al 0.059 0.802 0.500
Cu 0.129 0.629 0.000
Tc 0.000 0.000 0.000

---

Density functional theory data (PBE-GGA) for MnCrW2 after structural relaxation.

Results
Total magnetic moment ... 2.89 Bohr magnetons per cell
Raw total energy ... -88.42 eV per cell
Energy relative to the lowest polymorph listed for this composition ... 53 meV/atom
DFT formation energy ... 0.123 eV/atom
N(E_F) ... 0.78 states/eV per atom

abc: 3.116 4.330 8.334
angles: 90.00 90.00 90.00
Space group Cmm2 (No. 35)
Inequivalent atoms, fractional coordinates:
Mn 0.000 0.000 0.000
Cr 0.000 0.500 0.780
W 0.000 0.000 0.527
W 0.000 0.500 0.250

---

Density functional theory data (PBE-GGA) for CsNaCdAg after structural relaxation.

Results
Total magnetic moment ... 0.00 Bohr magnetons per cell
Raw total energy ... -21.84 eV per cell
DFT formation energy ... 0.120 eV/atom
N(E_F) ... 0.39 states/eV per atom

abc: 8.501 8.501 8.501
angles: 90.00 90.00 90.00
Space group F-43m (No. 216)
Inequivalent atoms, fractional coordinates:
Cs 0.000 0.000 0.000
Na 0.000 0.000 0.500
Cd 0.250 0.250 0.750
Ag 0.250 0.250 0.250

---

Density functional theory data (PBE-GGA) for BaSi3Pt after structural relaxation.

Results
Total magnetic moment ... 0.00 Bohr magnetons per cell
Raw total energy ... -54.49 eV per cell
Formation energy from raw total energies ... -0.60 eV/atom
N(E_F) ... 0.28 states/eV per atom

abc: 4.445 4.445 10.124
angles: 90.00 90.00 90.00
Space group I4mm (No. 107)
Inequivalent atoms, fractional coordinates:
Ba 0.000 0.000 0.000
Si 0.000 0.000 0.394
Si 0.000 0.500 0.255
Pt 0.000 0.000 0.648

---

Density functional theory data (PBE-GGA) for RbLi2HfCl8 after structural relaxation.

Results
Total magnetic moment ... 0.23 Bohr magnetons per cell
Raw total energy ... -49.25 eV per cell
Formation energy from raw total energies ... -1.64 eV/atom
N(E_F) ... 0.12 states/eV per atom

abc: 5.663 6.337 9.374
angles: 87.61 73.55 89.98
Space group P-1 (No. 2)
Inequivalent atoms, fractional coordinates:
Rb 0.000 0.000 0.000
Li 0.443 0.482 0.704
Hf 0.000 0.000 0.500
Cl 0.162 0.804 0.679
Cl 0.253 0.315 0.510
Cl 0.264 0.495 0.983
Cl 0.321 0.863 0.287

---

Density functional theory data (PBE-GGA) for MnAlTl2 after structural relaxation.

Results
Total magnetic moment ... 3.40 Bohr magnetons per cell
Raw total energy ... -16.72 eV per cell
Energy relative to the lowest polymorph listed for this composition ... 0 meV/atom
DFT formation energy ... 0.230 eV/atom
N(E_F) ... 0.50 states/eV per atom

abc: 3.128 3.177 9.129
angles: 90.00 98.58 90.00
Space group Pm (No. 6)
Inequivalent atoms, fractional coordinates:
Mn 0.000 0.000 0.000
Al 0.568 0.500 0.155
Tl 0.202 0.000 0.430
Tl 0.401 0.500 0.771

---

- Among the records above, which one has the lowest raw total energy?
  AcAlTl2Se4